YWAu, optimized geometry, DFT PBE; volume = 23.6 Å³ per atom; SG = F-43m (216); final energy = -20.51 eV per cell; crystal system = cubic; ΔE to the lowest computed polymorph = 524 meV per atom
1.0
0.000 3.285 3.285
3.285 0.000 3.285
3.285 3.285 0.000
Y W Au
1 1 1
direct
0.000 0.000 0.000
0.500 0.500 0.500
0.250 0.250 0.250